# Pm2Dy3Tm6Sc, optimized geometry, DFT GGA-PBE
data_Pm2Dy3Tm6Sc
_chemical_formula_sum 'Pm4 Dy6 Tm12 Sc2'
_symmetry_space_group_name_H-M 'C 1 2/m 1'
_symmetry_Int_Tables_number 12
_symmetry_space_group_name_Hall '-C 2y'
_cell_length_a 6.076
_cell_length_b 10.516
_cell_length_c 11.631
_cell_angle_alpha 90.00
_cell_angle_beta 99.99
_cell_angle_gamma 90.00
loop_
_atom_site_label
_atom_site_type_symbol
_atom_site_fract_x
_atom_site_fract_y
_atom_site_fract_z
_atom_site_occupancy
Pm1 Pm 0.000 0.166 0.000 1
Dy1 Dy 0.000 0.000 0.500 1
Dy2 Dy 0.000 0.334 0.500 1
Tm1 Tm 0.248 0.335 0.250 1
Tm2 Tm 0.248 0.500 0.750 1
Sc1 Sc 0.000 0.500 0.000 1
# Total moment in μB per atom: 0.000
# Formation enthalpy at 0 K in eV per atom: 0.03
# Density of states at the Fermi level in states/eV/cell: 31.7
# Mass density in g/cm³: 8.3
# V in Å³/cell: 732

# PmDy6Tm2Sc3, optimized geometry, DFT GGA-PBE
data_PmDy6Tm2Sc3
_chemical_formula_sum 'Pm2 Dy12 Tm4 Sc6'
_symmetry_space_group_name_H-M 'C 1 2/m 1'
_symmetry_Int_Tables_number 12
_symmetry_space_group_name_Hall '-C 2y'
_cell_length_a 6.035
_cell_length_b 10.446
_cell_length_c 11.444
_cell_angle_alpha 90.00
_cell_angle_beta 100.10
_cell_angle_gamma 90.00
loop_
_atom_site_label
_atom_site_type_symbol
_atom_site_fract_x
_atom_site_fract_y
_atom_site_fract_z
_atom_site_occupancy
Pm1 Pm 0.000 0.000 0.000 1
Dy1 Dy 0.247 0.000 0.741 1
Dy2 Dy 0.247 0.333 0.741 1
Tm1 Tm 0.000 0.333 0.000 1
Sc1 Sc 0.000 0.167 0.500 1
Sc2 Sc 0.000 0.500 0.500 1
# Total moment in μB per atom: 0.000
# Formation enthalpy at 0 K in eV per atom: 0.04
# Density of states at the Fermi level in states/eV/cell: 34.5
# Mass density in g/cm³: 7.4
# V in Å³/cell: 710

# Pm2DyTm2Sc, optimized geometry, DFT GGA-PBE
data_Pm2DyTm2Sc
_chemical_formula_sum 'Pm4 Dy2 Tm4 Sc2'
_symmetry_space_group_name_H-M 'P m c 21'
_symmetry_Int_Tables_number 26
_symmetry_space_group_name_Hall 'P 2c -2'
_cell_length_a 5.592
_cell_length_b 10.749
_cell_length_c 6.206
_cell_angle_alpha 90.00
_cell_angle_beta 90.00
_cell_angle_gamma 90.00
loop_
_atom_site_label
_atom_site_type_symbol
_atom_site_fract_x
_atom_site_fract_y
_atom_site_fract_z
_atom_site_occupancy
Pm1 Pm 0.000 0.082 0.000 1
Pm2 Pm 0.500 0.258 0.167 1
Dy1 Dy 0.000 0.256 0.506 1
Tm1 Tm 0.000 0.423 0.993 1
Tm2 Tm 0.500 0.088 0.667 1
Sc1 Sc 0.500 0.420 0.666 1
# Total moment in μB per atom: 0.001
# Formation enthalpy at 0 K in eV per atom: 0.03
# Density of states at the Fermi level in states/eV/cell: 21.5
# Mass density in g/cm³: 7.4
# V in Å³/cell: 373

# Pm2Dy5TmSc, optimized geometry, DFT GGA-PBE
data_Pm2Dy5TmSc
_chemical_formula_sum 'Pm8 Dy20 Tm4 Sc4'
_symmetry_space_group_name_H-M 'I 4/m c m'
_symmetry_Int_Tables_number 140
_symmetry_space_group_name_Hall '-I 4 2c'
_cell_length_a 8.416
_cell_length_b 8.416
_cell_length_c 15.968
_cell_angle_alpha 90.00
_cell_angle_beta 90.00
_cell_angle_gamma 90.00
loop_
_atom_site_label
_atom_site_type_symbol
_atom_site_fract_x
_atom_site_fract_y
_atom_site_fract_z
_atom_site_occupancy
Pm1 Pm 0.121 0.379 0.000 1
Dy1 Dy 0.000 0.000 0.000 1
Dy2 Dy 0.212 0.288 0.356 1
Tm1 Tm 0.000 0.000 0.250 1
Sc1 Sc 0.000 0.500 0.250 1
# Total moment in μB per atom: 0.000
# Formation enthalpy at 0 K in eV per atom: 0.28
# Density of states at the Fermi level in states/eV/cell: 49.4
# Mass density in g/cm³: 7.7
# V in Å³/cell: 1131

# Pm6Dy3Tm2Sc, optimized geometry, DFT GGA-PBE
data_Pm6Dy3Tm2Sc
_chemical_formula_sum 'Pm12 Dy6 Tm4 Sc2'
_symmetry_space_group_name_H-M 'C 1 2/m 1'
_symmetry_Int_Tables_number 12
_symmetry_space_group_name_Hall '-C 2y'
_cell_length_a 6.196
_cell_length_b 10.728
_cell_length_c 11.693
_cell_angle_alpha 90.00
_cell_angle_beta 100.14
_cell_angle_gamma 90.00
loop_
_atom_site_label
_atom_site_type_symbol
_atom_site_fract_x
_atom_site_fract_y
_atom_site_fract_z
_atom_site_occupancy
Pm1 Pm 0.247 0.165 0.246 1
Pm2 Pm 0.249 0.000 0.754 1
Dy1 Dy 0.000 0.167 0.500 1
Dy2 Dy 0.000 0.500 0.500 1
Tm1 Tm 0.000 0.333 0.000 1
Sc1 Sc 0.000 0.000 0.000 1
# Total moment in μB per atom: 0.000
# Formation enthalpy at 0 K in eV per atom: 0.02
# Density of states at the Fermi level in states/eV/cell: 26.9
# Mass density in g/cm³: 7.6
# V in Å³/cell: 765

# Pm2Dy4TmSc, optimized geometry, DFT GGA-PBE
data_Pm2Dy4TmSc
_chemical_formula_sum 'Pm2 Dy4 Tm1 Sc1'
_symmetry_space_group_name_H-M 'P 4/m m m'
_symmetry_Int_Tables_number 123
_symmetry_space_group_name_Hall '-P 4 2'
_cell_length_a 5.002
_cell_length_b 5.002
_cell_length_c 9.930
_cell_angle_alpha 90.00
_cell_angle_beta 90.00
_cell_angle_gamma 90.00
loop_
_atom_site_label
_atom_site_type_symbol
_atom_site_fract_x
_atom_site_fract_y
_atom_site_fract_z
_atom_site_occupancy
Pm1 Pm 0.000 0.000 0.000 1
Pm2 Pm 0.500 0.500 0.500 1
Dy1 Dy 0.000 0.500 0.246 1
Tm1 Tm 0.000 0.000 0.500 1
Sc1 Sc 0.500 0.500 0.000 1
# Total moment in μB per atom: 0.000
# Formation enthalpy at 0 K in eV per atom: 0.03
# Density of states at the Fermi level in states/eV/cell: 11.7
# Mass density in g/cm³: 7.7
# V in Å³/cell: 248

# PmDyTm3Sc, optimized geometry, DFT GGA-PBE
data_PmDyTm3Sc
_chemical_formula_sum 'Pm4 Dy4 Tm12 Sc4'
_symmetry_space_group_name_H-M 'C m c m'
_symmetry_Int_Tables_number 63
_symmetry_space_group_name_Hall '-C 2c 2'
_cell_length_a 4.932
_cell_length_b 14.784
_cell_length_c 9.875
_cell_angle_alpha 90.00
_cell_angle_beta 90.00
_cell_angle_gamma 90.00
loop_
_atom_site_label
_atom_site_type_symbol
_atom_site_fract_x
_atom_site_fract_y
_atom_site_fract_z
_atom_site_occupancy
Pm1 Pm 0.000 0.002 0.250 1
Dy1 Dy 0.000 0.500 0.000 1
Tm1 Tm 0.000 0.168 0.000 1
Tm2 Tm 0.000 0.330 0.250 1
Sc1 Sc 0.000 0.332 0.750 1
# Total moment in μB per atom: 0.000
# Formation enthalpy at 0 K in eV per atom: 0.04
# Density of states at the Fermi level in states/eV/cell: 34.9
# Mass density in g/cm³: 7.9
# V in Å³/cell: 720

# Pm2Dy6Y3Sc, optimized geometry, DFT GGA-PBE
data_Pm2Dy6Y3Sc
_chemical_formula_sum 'Pm4 Dy12 Y6 Sc2'
_symmetry_space_group_name_H-M 'C 1 2/m 1'
_symmetry_Int_Tables_number 12
_symmetry_space_group_name_Hall '-C 2y'
_cell_length_a 6.136
_cell_length_b 10.622
_cell_length_c 11.764
_cell_angle_alpha 90.00
_cell_angle_beta 99.96
_cell_angle_gamma 90.00
loop_
_atom_site_label
_atom_site_type_symbol
_atom_site_fract_x
_atom_site_fract_y
_atom_site_fract_z
_atom_site_occupancy
Pm1 Pm 0.000 0.166 0.000 1
Dy1 Dy 0.248 0.335 0.249 1
Dy2 Dy 0.248 0.500 0.751 1
Y1 Y 0.000 0.000 0.500 1
Y2 Y 0.000 0.334 0.500 1
Sc1 Sc 0.000 0.500 0.000 1
# Total moment in μB per atom: 0.000
# Formation enthalpy at 0 K in eV per atom: 0.03
# Density of states at the Fermi level in states/eV/cell: 32.7
# Mass density in g/cm³: 6.9
# V in Å³/cell: 755